Density functional theory data (GGA+U) for a relaxed NpMnNbO6 crystal.

Values from the calculation:
SG   P-31c (163)
E   -9.13 eV/atom
M_tot   7.00 μB per formula unit
Crystal system   trigonal

abc: 5.5139 5.5139 9.1596
angles: 90.00 90.00 120.00
Site moments in Bohr magnetons follow the coordinates.
Positions (direct):
Np  0.3333  0.6667  0.2500  2.21
Np  0.6667  0.3333  0.7500  2.21
Mn  0.0000  0.0000  0.0000  4.64
Mn  0.0000  0.0000  0.5000  4.64
Nb  0.6667  0.3333  0.2500  0.17
Nb  0.3333  0.6667  0.7500  0.17
O  0.6576  0.6429  0.1342  -0.04
O  0.9854  0.3424  0.1342  -0.04
O  0.3424  0.9854  0.6342  -0.04
O  0.0146  0.6576  0.8658  -0.04
O  0.3571  0.3424  0.3658  -0.04
O  0.9854  0.6429  0.3658  -0.04
O  0.6429  0.9854  0.8658  -0.04
O  0.6576  0.0146  0.3658  -0.04
O  0.0146  0.3571  0.6342  -0.04
O  0.3571  0.0146  0.1342  -0.04
O  0.6429  0.6576  0.6342  -0.04
O  0.3424  0.3571  0.8658  -0.04